Entry 1:
## SrCaEuBiO6 (PBE-GGA)

Data for crystalline SrCaEuBiO6 at its relaxed geometry.

```
data_SrCaEuBiO6
_cell_length_a 8.6466
_cell_length_b 8.6466
_cell_length_c 8.6466
_cell_angle_alpha 90.00
_cell_angle_beta 90.00
_cell_angle_gamma 90.00
_space_group_name_H-M_alt 'F -4 3 m'
_space_group_IT_number 216
_space_group_name_Hall 'F -4 2 3'
loop_
_atom_site_label
_atom_site_type_symbol
_atom_site_fract_x
_atom_site_fract_y
_atom_site_fract_z
Sr1 Sr 0.0000 0.0000 0.0000
Ca1 Ca 0.0000 0.0000 0.5000
Eu1 Eu 0.2500 0.2500 0.7500
Bi1 Bi 0.2500 0.2500 0.2500
O1 O 0.0072 0.2500 0.2500
```

Properties
- Relative energy among the computed polymorphs: 10.69 kJ/mol of atoms

---

Entry 2:
## CaEuBiPb (PBE-GGA)

Data for crystalline CaEuBiPb at its relaxed geometry.

```
data_CaEuBiPb
_cell_length_a 8.0122
_cell_length_b 8.0122
_cell_length_c 8.0122
_cell_angle_alpha 90.00
_cell_angle_beta 90.00
_cell_angle_gamma 90.00
_space_group_name_H-M_alt 'F -4 3 m'
_space_group_IT_number 216
_space_group_name_Hall 'F -4 2 3'
loop_
_atom_site_label
_atom_site_type_symbol
_atom_site_fract_x
_atom_site_fract_y
_atom_site_fract_z
Ca1 Ca 0.0000 0.0000 0.0000
Eu1 Eu 0.0000 0.0000 0.5000
Bi1 Bi 0.2500 0.2500 0.2500
Pb1 Pb 0.2500 0.2500 0.7500
```

Properties
- ΔH_f (0 K): -2.4 eV/f.u.

---

Entry 3:
## CaEuBiSb (PBE-GGA)

Data for crystalline CaEuBiSb at its relaxed geometry.

```
data_CaEuBiSb
_cell_length_a 7.9359
_cell_length_b 7.9359
_cell_length_c 7.9359
_cell_angle_alpha 90.00
_cell_angle_beta 90.00
_cell_angle_gamma 90.00
_space_group_name_H-M_alt 'F -4 3 m'
_space_group_IT_number 216
_space_group_name_Hall 'F -4 2 3'
loop_
_atom_site_label
_atom_site_type_symbol
_atom_site_fract_x
_atom_site_fract_y
_atom_site_fract_z
Ca1 Ca 0.0000 0.0000 0.0000
Eu1 Eu 0.0000 0.0000 0.5000
Bi1 Bi 0.2500 0.2500 0.7500
Sb1 Sb 0.2500 0.2500 0.2500
```

Properties
- E: -93.2 eV/cell

---

Entry 4:
## CaEuSnBi (PBE-GGA)

Data for crystalline CaEuSnBi at its relaxed geometry.

```
data_CaEuSnBi
_cell_length_a 7.9293
_cell_length_b 7.9293
_cell_length_c 7.9293
_cell_angle_alpha 90.00
_cell_angle_beta 90.00
_cell_angle_gamma 90.00
_space_group_name_H-M_alt 'F -4 3 m'
_space_group_IT_number 216
_space_group_name_Hall 'F -4 2 3'
loop_
_atom_site_label
_atom_site_type_symbol
_atom_site_fract_x
_atom_site_fract_y
_atom_site_fract_z
Ca1 Ca 0.0000 0.0000 0.0000
Eu1 Eu 0.0000 0.0000 0.5000
Sn1 Sn 0.2500 0.2500 0.2500
Bi1 Bi 0.2500 0.2500 0.7500
```

Properties
- ΔH_f (0 K): -2.5 eV/f.u.

---

Entry 5:
## CaEuTlBi (PBE-GGA)

Data for crystalline CaEuTlBi at its relaxed geometry.

```
data_CaEuTlBi
_cell_length_a 7.9789
_cell_length_b 7.9789
_cell_length_c 7.9789
_cell_angle_alpha 90.00
_cell_angle_beta 90.00
_cell_angle_gamma 90.00
_space_group_name_H-M_alt 'F -4 3 m'
_space_group_IT_number 216
_space_group_name_Hall 'F -4 2 3'
loop_
_atom_site_label
_atom_site_type_symbol
_atom_site_fract_x
_atom_site_fract_y
_atom_site_fract_z
Ca1 Ca 0.0000 0.0000 0.0000
Eu1 Eu 0.0000 0.0000 0.5000
Tl1 Tl 0.2500 0.2500 0.2500
Bi1 Bi 0.2500 0.2500 0.7500
```

Properties
- ΔH_f (0 K): -2.3 eV/f.u.

---

Entry 6:
## CaEuZnBi (PBE-GGA)

Data for crystalline CaEuZnBi at its relaxed geometry.

```
data_CaEuZnBi
_cell_length_a 7.7817
_cell_length_b 7.7817
_cell_length_c 7.7817
_cell_angle_alpha 90.00
_cell_angle_beta 90.00
_cell_angle_gamma 90.00
_space_group_name_H-M_alt 'F -4 3 m'
_space_group_IT_number 216
_space_group_name_Hall 'F -4 2 3'
loop_
_atom_site_label
_atom_site_type_symbol
_atom_site_fract_x
_atom_site_fract_y
_atom_site_fract_z
Ca1 Ca 0.0000 0.0000 0.0000
Eu1 Eu 0.0000 0.0000 0.5000
Zn1 Zn 0.2500 0.2500 0.7500
Bi1 Bi 0.2500 0.2500 0.2500
```

Properties
- ΔH_f (0 K): -2.1 eV/f.u.

---

Entry 7:
## Ca2Bi2F (PBE-GGA)

Data for crystalline Ca2Bi2F at its relaxed geometry.

```
data_Ca2Bi2F
_cell_length_a 6.9509
_cell_length_b 6.9509
_cell_length_c 5.4395
_cell_angle_alpha 90.00
_cell_angle_beta 90.00
_cell_angle_gamma 90.00
_space_group_name_H-M_alt 'P 4/m b m'
_space_group_IT_number 127
_space_group_name_Hall '-P 4 2ab'
loop_
_atom_site_label
_atom_site_type_symbol
_atom_site_fract_x
_atom_site_fract_y
_atom_site_fract_z
Ca1 Ca 0.1781 0.3219 0.0000
Bi1 Bi 0.1618 0.6618 0.5000
F1 F 0.0000 0.0000 0.0000
```

Properties
- E: -41.0 eV/cell

---

Entry 8:
## CaBiF2 (PBE-GGA)

Data for crystalline CaBiF2 at its relaxed geometry.

```
data_CaBiF2
_cell_length_a 6.7375
_cell_length_b 6.7375
_cell_length_c 6.7375
_cell_angle_alpha 90.00
_cell_angle_beta 90.00
_cell_angle_gamma 90.00
_space_group_name_H-M_alt 'F m -3 m'
_space_group_IT_number 225
_space_group_name_Hall '-F 4 2 3'
loop_
_atom_site_label
_atom_site_type_symbol
_atom_site_fract_x
_atom_site_fract_y
_atom_site_fract_z
Ca1 Ca 0.0000 0.0000 0.0000
Bi1 Bi 0.0000 0.0000 0.5000
F1 F 0.2500 0.2500 0.2500
```

Properties
- Relative energy among the computed polymorphs: 101.39 kJ/mol of atoms